Run A
Compound: LiBe2Cl
Source: Alexandria
Functional: meta-GGA SCAN
Structure: single point on PBEsol structure

Its calculated density is 1514 kg/m3. The crystal system is cubic. As for the space group: Fm-3m (225).

The structure in extended XYZ format:
```
4
Lattice="-2.654 -0.861 3.584 0.083 -4.099 1.955 1.843 -0.515 4.120" Properties=species:S:1:pos:R:3 pbc="T T T"
Be -0.546 -4.106 7.244
Be -0.182 -1.369 2.415
Cl 0.000 0.000 0.000
Li -0.364 -2.738 4.829
```

=====

Run B
Compound: LiBe2Cl
Source: Alexandria
Functional: meta-GGA SCAN
Structure: single point on PBEsol structure

Its calculated density is 1479 kg/m3. The crystal system is tetragonal. As for the space group: P4/mmm (123).

The structure in extended XYZ format:
```
4
Lattice="3.121 0.000 0.000 0.000 3.121 0.000 0.000 0.000 6.965" Properties=species:S:1:pos:R:3 pbc="T T T"
Be 0.000 0.000 0.000
Be 1.561 1.560 0.000
Cl 1.561 0.000 3.482
Li 0.000 1.560 3.482
```

=====

Stability summary - winner: run B; margin: 125.3 kJ/mol of atoms.

=====

Run A
Compound: MgBeCl2
Source: Alexandria
Functional: meta-GGA SCAN
Structure: single point on PBEsol structure

Its calculated density is 2208 kg/m3. The crystal system is cubic. As for the space group: F-43m (216).

The structure in extended XYZ format:
```
4
Lattice="-2.801 1.281 3.687 -4.194 -2.230 0.719 -0.537 -2.956 3.748" Properties=species:S:1:pos:R:3 pbc="T T T"
Be -3.766 -1.953 4.077
Mg -1.883 -0.976 2.039
Cl 0.000 0.000 0.000
Cl -5.648 -2.929 6.116
```

=====

Run B
Compound: MgBeCl2
Source: Alexandria
Functional: meta-GGA SCAN
Structure: single point on PBEsol structure

Its calculated density is 1921 kg/m3. The crystal system is tetragonal. As for the space group: P4/mmm (123).

The structure in extended XYZ format:
```
4
Lattice="-0.304 -1.881 2.440 3.076 -0.041 0.351 -0.551 7.466 5.686" Properties=species:S:1:pos:R:3 pbc="T T T"
Be 1.111 2.772 4.239
Mg 1.386 -0.961 1.396
Cl -0.463 6.273 4.777
Cl -0.088 1.193 0.909
```

=====

Stability summary - winner: run B; margin: 59.3 kJ/mol of atoms.

=====

Run A
Compound: MgBeNi2Cl
Source: Alexandria
Functional: meta-GGA SCAN
Structure: single point on PBEsol structure

Its calculated density is 3981 kg/m3. The crystal system is tetragonal. As for the space group: P4/mmm (123).

The structure in extended XYZ format:
```
5
Lattice="4.105 0.000 0.000 0.000 4.105 0.000 0.000 0.000 4.609" Properties=species:S:1:pos:R:3 pbc="T T T"
Ni 0.000 2.052 0.000
Ni 2.052 0.000 0.000
Mg 0.000 0.000 2.305
Be 2.052 2.052 2.305
Cl 0.000 0.000 0.000
```

=====

Run B
Compound: MgBeNi2Cl
Source: Alexandria
Functional: meta-GGA SCAN
Structure: single point on PBEsol structure

Its calculated density is 4308 kg/m3. The crystal system is tetragonal. As for the space group: P4/mmm (123).

The structure in extended XYZ format:
```
5
Lattice="3.949 0.000 0.000 0.000 3.949 0.000 0.000 0.000 4.601" Properties=species:S:1:pos:R:3 pbc="T T T"
Ni 0.000 1.975 0.000
Ni 1.975 0.000 0.000
Mg 1.975 1.975 2.300
Be 0.000 0.000 0.000
Cl 0.000 0.000 2.300
```

=====

Stability summary - winner: run B; margin: 37.1 kJ/mol of atoms.

=====

Run A
Compound: MnBeCl
Source: Alexandria
Functional: meta-GGA SCAN
Structure: single point on PBEsol structure

Its calculated density is 4042 kg/m3. The crystal system is cubic. As for the space group: F-43m (216).

The structure in extended XYZ format:
```
3
Lattice="3.865 0.000 0.000 1.933 3.348 0.000 1.933 1.116 3.156" Properties=species:S:1:pos:R:3 pbc="T T T"
Be 3.865 2.232 1.578
Mn 0.000 0.000 0.000
Cl 1.933 1.116 0.789
```

=====

Run B
Compound: MnBeCl
Source: Alexandria
Functional: meta-GGA SCAN
Structure: single point on PBEsol structure

Its calculated density is 4487 kg/m3. The crystal system is hexagonal. As for the space group: P-6m2 (187).

The structure in extended XYZ format:
```
3
Lattice="2.850 0.000 0.000 0.000 3.861 0.000 0.000 -1.930 3.343" Properties=species:S:1:pos:R:3 pbc="T T T"
Be 1.425 0.000 0.000
Mn 0.000 1.930 1.114
Cl 0.000 0.000 2.229
```

=====

Stability summary - winner: run B; margin: 31.8 kJ/mol of atoms.

=====

Run A
Compound: MnBeCl2
Source: Alexandria
Functional: meta-GGA SCAN
Structure: single point on PBEsol structure

Its calculated density is 3176 kg/m3. The crystal system is monoclinic. As for the space group: C2/m (12).

The structure in extended XYZ format:
```
4
Lattice="3.197 0.000 -0.017 0.000 3.668 0.000 -1.539 -1.834 6.020" Properties=species:S:1:pos:R:3 pbc="T T T"
Be 0.000 1.834 0.000
Mn 1.598 0.000 -0.008
Cl 1.609 1.834 1.598
Cl 0.049 0.000 4.405
```

=====

Run B
Compound: MnBeCl2
Source: Alexandria
Functional: meta-GGA SCAN
Structure: single point on PBEsol structure

Its calculated density is 3453 kg/m3. The crystal system is orthorhombic. As for the space group: Pmmm (47).

The structure in extended XYZ format:
```
4
Lattice="3.098 0.000 0.000 0.000 3.719 0.000 0.000 0.000 5.629" Properties=species:S:1:pos:R:3 pbc="T T T"
Be 0.000 1.859 2.814
Mn 1.549 1.859 0.000
Cl 0.000 0.000 0.000
Cl 1.549 0.000 2.814
```

=====

Stability summary - winner: run A; margin: 46.9 kJ/mol of atoms.

=====

Run A
Compound: BeOs2Cl
Source: Alexandria
Functional: meta-GGA SCAN
Structure: single point on PBEsol structure

Its calculated density is 13082 kg/m3. The crystal system is orthorhombic. As for the space group: Pmmm (47).

The structure in extended XYZ format:
```
4
Lattice="2.688 0.000 0.000 0.000 4.198 0.000 0.000 0.000 4.779" Properties=species:S:1:pos:R:3 pbc="T T T"
Be 1.344 2.099 0.000
Os 0.000 0.000 0.000
Os 1.344 0.000 2.390
Cl 0.000 2.099 2.390
```

=====

Run B
Compound: BeOs2Cl
Source: Alexandria
Functional: meta-GGA SCAN
Structure: single point on PBEsol structure

Its calculated density is 13222 kg/m3. The crystal system is tetragonal. As for the space group: P4/mmm (123).

The structure in extended XYZ format:
```
4
Lattice="-1.499 -0.676 -2.298 0.961 -2.653 0.153 -5.190 -1.657 3.871" Properties=species:S:1:pos:R:3 pbc="T T T"
Be -0.269 -1.664 -1.073
Os -4.215 -1.346 3.144
Os -0.975 -0.311 0.727
Cl -2.864 -2.493 0.863
```

=====

Stability summary - winner: run B; margin: 24.6 kJ/mol of atoms.

=====

Run A
Compound: BeOsCl
Source: Alexandria
Functional: meta-GGA SCAN
Structure: single point on PBEsol structure

Its calculated density is 8476 kg/m3. The crystal system is orthorhombic. As for the space group: Fmm2 (42).

The structure in extended XYZ format:
```
3
Lattice="2.785 0.000 0.000 1.392 2.363 0.000 1.392 0.000 6.986" Properties=species:S:1:pos:R:3 pbc="T T T"
Be 2.785 0.000 0.141
Os 2.785 0.000 5.218
Cl 1.392 0.000 1.627
```

=====

Run B
Compound: BeOsCl
Source: Alexandria
Functional: meta-GGA SCAN
Structure: single point on PBEsol structure

Its calculated density is 8916 kg/m3. The crystal system is cubic. As for the space group: F-43m (216).

The structure in extended XYZ format:
```
3
Lattice="3.954 0.000 0.000 1.977 3.424 0.000 1.977 1.141 3.228" Properties=species:S:1:pos:R:3 pbc="T T T"
Be 0.000 0.000 0.000
Os 1.977 1.141 0.807
Cl 3.954 2.283 1.614
```

=====

Stability summary - winner: run A; margin: 92.9 kJ/mol of atoms.

=====

Run A
Compound: BeOsCl2
Source: Alexandria
Functional: meta-GGA SCAN
Structure: single point on PBEsol structure

Its calculated density is 5891 kg/m3. The crystal system is monoclinic. As for the space group: Cm (8).

The structure in extended XYZ format:
```
4
Lattice="-2.168 1.943 -0.586 1.472 -1.605 -3.246 -4.840 -5.129 0.895" Properties=species:S:1:pos:R:3 pbc="T T T"
Be -3.567 -2.116 -1.348
Os -2.908 -4.026 -2.595
Cl -4.439 -4.713 0.791
Cl -1.493 -2.262 -1.980
```

=====

Run B
Compound: BeOsCl2
Source: Alexandria
Functional: meta-GGA SCAN
Structure: single point on PBEsol structure

Its calculated density is 7576 kg/m3. The crystal system is cubic. As for the space group: F-43m (216).

The structure in extended XYZ format:
```
4
Lattice="4.375 0.000 0.000 2.187 3.789 0.000 2.187 1.263 3.572" Properties=species:S:1:pos:R:3 pbc="T T T"
Be 4.375 2.526 1.786
Os 2.187 1.263 0.893
Cl 0.000 0.000 0.000
Cl 6.562 3.789 2.679
```

=====

Run C
Compound: BeOsCl2
Source: Alexandria
Functional: meta-GGA SCAN
Structure: single point on PBEsol structure

Its calculated density is 4984 kg/m3. The crystal system is orthorhombic. As for the space group: Imm2 (44).

The structure in extended XYZ format:
```
4
Lattice="-1.244 -1.211 2.207 -2.146 -5.002 -2.167 3.997 -3.816 1.945" Properties=species:S:1:pos:R:3 pbc="T T T"
Be 0.142 -2.482 0.504
Os 0.239 -4.856 1.043
Cl -0.982 -1.855 2.001
Cl 0.268 -7.060 1.636
```

=====

Stability summary - winner: run A; margin: 37.4 kJ/mol of atoms.

=====

Run A
Compound: Be2PbCl
Source: Alexandria
Functional: meta-GGA SCAN
Structure: single point on PBEsol structure

Its calculated density is 6087 kg/m3. The crystal system is orthorhombic. As for the space group: Immm (71).

The structure in extended XYZ format:
```
4
Lattice="-0.944 2.733 -1.413 -3.282 -1.107 -3.615 -4.480 1.291 1.824" Properties=species:S:1:pos:R:3 pbc="T T T"
Pb -0.472 1.367 -0.707
Be -5.849 0.899 -1.685
Be -2.856 2.018 -1.519
Cl -3.881 0.092 -0.896
```

=====

Run B
Compound: Be2PbCl
Source: Alexandria
Functional: meta-GGA SCAN
Structure: single point on PBEsol structure

Its calculated density is 5218 kg/m3. The crystal system is orthorhombic. As for the space group: Cmm2 (35).

The structure in extended XYZ format:
```
4
Lattice="2.982 0.000 0.000 -1.491 2.972 0.000 0.000 0.000 9.360" Properties=species:S:1:pos:R:3 pbc="T T T"
Pb 1.491 0.000 7.547
Be 0.000 0.000 0.508
Be 1.491 0.000 2.308
Cl 0.000 0.000 3.676
```

=====

Run C
Compound: Be2PbCl
Source: Alexandria
Functional: meta-GGA SCAN
Structure: single point on PBEsol structure

Its calculated density is 6122 kg/m3. The crystal system is cubic. As for the space group: Fm-3m (225).

The structure in extended XYZ format:
```
4
Lattice="-1.257 4.046 -1.896 -3.488 0.146 -3.059 -4.039 1.960 1.178" Properties=species:S:1:pos:R:3 pbc="T T T"
Pb -4.392 3.076 -1.888
Be -2.196 1.538 -0.944
Be -6.588 4.613 -2.832
Cl 0.000 0.000 0.000
```

=====

Stability summary - winner: run B; margin: 35.3 kJ/mol of atoms.

=====

Run A
Compound: BePdCl2
Source: Alexandria
Functional: meta-GGA SCAN
Structure: single point on PBEsol structure

Its calculated density is 5004 kg/m3. The crystal system is trigonal. As for the space group: R-3m (166).

The structure in extended XYZ format:
```
4
Lattice="-0.277 2.192 2.231 -2.847 0.971 0.902 -1.203 -4.120 6.107" Properties=species:S:1:pos:R:3 pbc="T T T"
Be -2.164 -0.479 4.620
Pd 0.000 0.000 0.000
Cl -3.177 1.483 4.777
Cl -1.151 -2.440 4.464
```

=====

Run B
Compound: BePdCl2
Source: Alexandria
Functional: meta-GGA SCAN
Structure: single point on PBEsol structure

Its calculated density is 4538 kg/m3. The crystal system is tetragonal. As for the space group: I-42d (122).

The structure in extended XYZ format:
```
8
Lattice="-1.642 -3.400 3.922 3.863 -2.171 -4.043 5.162 -0.637 1.609" Properties=species:S:1:pos:R:3 pbc="T T T"
Be 2.812 -2.095 -0.639
Be 1.760 -2.019 2.766
Pd 4.572 -4.114 2.127
Pd 0.000 0.000 0.000
Cl 7.092 -2.853 -0.854
Cl 3.924 -3.750 -0.257
Cl 1.363 -1.943 0.776
Cl 2.387 -3.871 3.312
```

=====

Stability summary - winner: run B; margin: 0.9 kJ/mol of atoms.

=====

Run A
Compound: BeRe2Cl
Source: Alexandria
Functional: meta-GGA SCAN
Structure: single point on PBEsol structure

Its calculated density is 12198 kg/m3. The crystal system is monoclinic. As for the space group: C2/m (12).

The structure in extended XYZ format:
```
4
Lattice="2.973 -0.014 0.000 -0.093 4.285 0.000 -1.440 -2.135 4.456" Properties=species:S:1:pos:R:3 pbc="T T T"
Re -0.720 -1.068 2.228
Re 0.720 1.068 2.228
Be 1.487 -0.007 0.000
Cl -0.047 2.142 0.000
```

=====

Run B
Compound: BeRe2Cl
Source: Alexandria
Functional: meta-GGA SCAN
Structure: single point on PBEsol structure

Its calculated density is 12737 kg/m3. The crystal system is tetragonal. As for the space group: I-4m2 (119).

The structure in extended XYZ format:
```
4
Lattice="-3.552 1.431 0.831 0.645 -4.337 0.988 1.616 2.574 2.473" Properties=species:S:1:pos:R:3 pbc="T T T"
Re 0.000 0.000 0.000
Re -1.938 -0.452 1.736
Be -0.968 2.003 1.652
Cl 0.646 0.120 2.557
```

=====

Stability summary - winner: run A; margin: 6.1 kJ/mol of atoms.

=====

Run A
Compound: BeRu2Cl
Source: Alexandria
Functional: meta-GGA SCAN
Structure: single point on PBEsol structure

Its calculated density is 7883 kg/m3. The crystal system is orthorhombic. As for the space group: Pmmm (47).

The structure in extended XYZ format:
```
4
Lattice="-0.191 0.843 -2.590 2.524 -2.943 -1.143 -3.662 -2.881 -0.668" Properties=species:S:1:pos:R:3 pbc="T T T"
Ru 0.000 0.000 0.000
Ru -1.926 -1.019 -1.629
Be 1.167 -1.050 -1.867
Cl -0.569 -2.912 -0.905
```

=====

Run B
Compound: BeRu2Cl
Source: Alexandria
Functional: meta-GGA SCAN
Structure: single point on PBEsol structure

Its calculated density is 7924 kg/m3. The crystal system is trigonal. As for the space group: R3m (160).

The structure in extended XYZ format:
```
4
Lattice="2.799 0.000 0.000 1.400 2.424 0.000 1.400 0.808 7.615" Properties=species:S:1:pos:R:3 pbc="T T T"
Ru 1.400 0.808 7.530
Ru 4.199 2.424 5.576
Be 2.799 1.616 3.695
Cl 1.400 0.808 2.235
```

=====

Stability summary - winner: run B; margin: 49.8 kJ/mol of atoms.